# 1
This record from Alexandria describes CsFe2Br6 after structural relaxation. The functional is GGA-PBE.

Unit cell a=6.6721 b=10.7148 c=10.7148 alpha=95.90 beta=85.54 gamma=85.54
Site moments in Bohr magnetons follow the coordinates.
Fractional positions:
Br (0.2668, 0.7895, 0.9492)  0.14
Br (0.4520, 0.7167, 0.5894)  0.19
Fe (0.7953, 0.7738, 0.6329)  3.56
Fe (0.2953, 0.6329, 0.7738)  3.56
Br (0.2332, 0.0508, 0.2105)  0.14
Br (0.0480, 0.4106, 0.2833)  0.19
Br (0.0447, 0.1942, 0.5604)  0.20
Br (0.7332, 0.2105, 0.0508)  0.14
Br (0.5480, 0.2833, 0.4106)  0.19
Br (0.7668, 0.9492, 0.7895)  0.14
Br (0.5447, 0.5604, 0.1942)  0.20
Cs (0.2500, 0.1352, 0.8648)  0.01
Fe (0.2047, 0.2262, 0.3671)  3.56
Br (0.9553, 0.8058, 0.4396)  0.20
Br (0.9520, 0.5894, 0.7167)  0.19
Cs (0.7500, 0.8648, 0.1352)  0.01
Br (0.4553, 0.4396, 0.8058)  0.20
Fe (0.7047, 0.3671, 0.2262)  3.56

Calculated values
**E_form (uncorrected)**: -0.787 eV/atom
**E**: -3.88 eV/atom


# 2
This record from Alexandria describes DyCu2SiNi2 after structural relaxation. The functional is GGA-PBE.

Unit cell a=4.2236 b=4.2236 c=5.4612 alpha=90.00 beta=90.00 gamma=90.00
Fractional positions:
Cu (0.5000, 0.5000, 0.2660)
Cu (0.5000, 0.5000, 0.7340)
Dy (0.0000, 0.0000, 0.5000)
Ni (0.5000, 0.0000, 0.0000)
Ni (0.0000, 0.5000, 0.0000)
Si (0.0000, 0.0000, 0.0000)

Calculated values
**E_form (uncorrected)**: -0.081 eV/atom
**E**: -5.04 eV/atom